1.
VASP calculation (PBE-GGA) on a relaxed YLuMgHg crystal.

abc: 7.4260 7.4260 7.4260
angles: 90.00 90.00 90.00
Space group F-43m (No. 216)
Unique sites:
Y  0.0000  0.0000  0.0000 x4
Lu  0.0000  0.0000  0.5000 x4
Mg  0.2500  0.2500  0.2500 x4
Hg  0.2500  0.2500  0.7500 x4

Calculated values
Calculated formation energy in meV per atom: -266
Total magnetic moment in μB/f.u.: 0.00



2.
VASP calculation (PBE-GGA) on a relaxed Mg2Cu2O5 crystal.

abc: 13.9476 5.1760 5.2225
angles: 90.00 90.00 90.00
Space group Ima2 (No. 46)
Unique sites:
Mg  0.1192  0.0018  0.0000 x8
Cu  0.0000  0.0000  0.4537 x4
Cu  0.2500  0.0240  0.5192 x4
O  0.0444  0.2332  0.7140 x8
O  0.1350  0.6261  0.8936 x8
O  0.2500  0.1177  0.8815 x4

Calculated values
Energy above the most stable polymorph in this dataset in eV/atom: 0.000
Formation energy (no corrections) in eV/atom: -1.293
Total magnetic moment in μB/f.u.: 1.45



3.
VASP calculation (PBE-GGA) on a relaxed Tb5Nd6Y2 crystal.

abc: 11.7884 20.6931 3.6365
angles: 90.00 90.00 90.00
Space group Pbam (No. 55)
Unique sites:
Tb  0.0000  0.0000  0.0000 x2
Tb  0.0924  0.2742  0.0000 x4
Tb  0.1991  0.5551  0.0000 x4
Nd  0.0594  0.4199  0.5000 x4
Nd  0.0816  0.1331  0.5000 x4
Nd  0.1746  0.8660  0.0000 x4
Y  0.1666  0.7109  0.5000 x4

Calculated values
Calculated formation energy in meV per atom: 97
Total magnetic moment in μB/f.u.: 0.00



Number 1: DOS at the Fermi energy 4.2 states/eV/f.u.. Number 2: DOS at the Fermi energy 4.5 states/eV/f.u.. Number 3: DOS at the Fermi energy 15.3 states/eV/f.u..